{"formula": "Ba2AsRu", "functional": "GGA-PBEsol", "state": "optimized geometry", "cell": [[-2.243, -1.375, 2.219], [1.722, -2.978, -0.105], [5.466, 2.903, 7.323]], "species": ["Ru", "Ba", "Ba", "As"], "frac_coords": [[0.000, 0.000, 0.578], [0.500, 0.500, 0.333], [0.000, 0.000, 0.916], [0.500, 0.500, 0.672]], "e_form_ev_per_atom": -0.015}

=====

{"formula": "BaAsRu2", "functional": "GGA-PBEsol", "state": "optimized geometry", "cell": [[3.047, 0.004, 0.000], [-0.077, 5.436, 0.000], [-1.485, -2.720, 4.475]], "species": ["Ru", "Ru", "Ba", "As"], "frac_coords": [[0.500, 0.500, 0.500], [0.000, 0.000, 0.500], [0.500, 0.500, 0.000], [0.000, 0.000, 0.000]], "e_form_ev_per_atom": 0.784}

=====

{"formula": "BaAsRu", "functional": "GGA-PBEsol", "state": "optimized geometry", "cell": [[-2.074, 3.653, -2.028], [-4.564, -0.141, -0.950], [-2.972, 2.643, 2.437]], "species": ["As", "Ru", "Ba"], "frac_coords": [[0.000, 0.000, 0.000], [0.250, 0.250, 0.250], [0.500, 0.500, 0.500]], "e_form_ev_per_atom": 0.278}

=====

{"formula": "Ba2AsS", "functional": "GGA-PBEsol", "state": "optimized geometry", "cell": [[-1.088, 6.149, 3.715], [0.711, -5.664, 4.495], [6.142, 0.348, -3.866]], "species": ["S", "S", "As", "As", "Ba", "Ba", "Ba", "Ba"], "frac_coords": [[0.000, 0.500, 0.500], [0.500, 0.250, 0.750], [0.500, 0.750, 0.250], [0.000, 0.000, 0.000], [0.520, 0.375, 0.395], [0.020, 0.145, 0.625], [0.480, 0.875, 0.855], [0.980, 0.605, 0.125]], "energy_ev_per_atom": -4.59}

=====

{"formula": "BaAs2SeS", "functional": "GGA-PBEsol", "state": "optimized geometry", "cell": [[4.892, 0.000, 0.000], [0.000, 4.892, 0.000], [0.000, 0.000, 5.134]], "species": ["S", "As", "As", "Se", "Ba"], "frac_coords": [[0.000, 0.000, 0.000], [0.000, 0.500, 0.000], [0.500, 0.000, 0.000], [0.000, 0.000, 0.500], [0.500, 0.500, 0.500]], "energy_ev_per_atom": -4.38}

=====

{"formula": "BaSb3As", "functional": "GGA-PBEsol", "state": "optimized geometry", "cell": [[-4.588, -1.233, 2.662], [2.691, 0.199, 4.730], [-1.169, 5.300, 0.442]], "species": ["Ba", "As", "Sb", "Sb", "Sb"], "frac_coords": [[0.500, 0.500, 0.500], [0.000, 0.000, 0.000], [0.000, 0.000, 0.500], [0.500, 0.000, 0.000], [0.000, 0.500, 0.000]], "energy_ev_per_atom": -4.27}

=====

{"formula": "BaSbAs", "functional": "GGA-PBEsol", "state": "optimized geometry", "cell": [[4.295, 0.000, 0.000], [0.000, 4.573, -0.006], [0.000, -2.021, 9.616]], "species": ["Sb", "Sb", "As", "As", "Ba", "Ba"], "frac_coords": [[0.250, 0.789, 0.010], [0.750, 0.211, 0.990], [0.750, 0.971, 0.431], [0.250, 0.029, 0.569], [0.750, 0.591, 0.702], [0.250, 0.409, 0.298]], "relative_energy_kj_per_mol_atoms": 0.0}

=====

{"formula": "BaSb2As", "functional": "GGA-PBEsol", "state": "optimized geometry", "cell": [[3.974, 0.000, 0.000], [0.000, 5.662, -0.023], [-1.987, -2.111, 5.246]], "species": ["As", "Sb", "Sb", "Ba"], "frac_coords": [[0.000, 0.500, 0.000], [0.707, 0.645, 0.414], [0.293, 0.355, 0.586], [0.500, 0.000, 0.000]], "energy_ev_per_atom": -4.60}

=====

{"formula": "BaSbAs2", "functional": "GGA-PBEsol", "state": "optimized geometry", "cell": [[-1.266, -2.247, 3.185], [0.201, -3.382, -2.306], [6.304, -0.900, 1.870]], "species": ["As", "As", "Ba", "Sb"], "frac_coords": [[0.000, 0.000, 0.952], [0.500, 0.500, 0.241], [0.000, 0.000, 0.458], [0.500, 0.500, 0.850]], "energy_ev_per_atom": -4.51}

=====

{"formula": "BaSb2As", "functional": "GGA-PBEsol", "state": "optimized geometry", "cell": [[7.004, -0.133, 0.000], [-2.728, 6.452, 0.000], [-2.138, -3.159, 5.875]], "species": ["As", "As", "Ba", "Ba", "Sb", "Sb", "Sb", "Sb"], "frac_coords": [[0.750, 0.250, 0.500], [0.500, 0.500, 0.000], [0.000, 0.000, 0.000], [0.250, 0.750, 0.500], [0.625, 0.200, 0.075], [0.125, 0.550, 0.925], [0.450, 0.375, 0.575], [0.800, 0.875, 0.425]], "energy_ev_per_atom": -4.39}

=====

{"formula": "BaSbAs2", "functional": "GGA-PBEsol", "state": "optimized geometry", "cell": [[-1.489, -2.686, 3.193], [1.336, -2.443, -4.505], [4.696, 0.979, 3.013]], "species": ["Ba", "Sb", "As", "As"], "frac_coords": [[0.500, 0.000, 0.000], [0.000, 0.000, 0.500], [0.275, 0.550, 0.386], [0.725, 0.450, 0.614]], "energy_ev_per_atom": -4.72}

=====

{"formula": "BaSb2As", "functional": "GGA-PBEsol", "state": "optimized geometry", "cell": [[-4.144, 2.792, -2.174], [-5.128, -1.634, 0.848], [-3.296, 2.923, 3.207]], "species": ["Sb", "Sb", "As", "Ba"], "frac_coords": [[0.000, 0.000, 0.000], [0.750, 0.750, 0.750], [0.500, 0.500, 0.500], [0.250, 0.250, 0.250]], "energy_ev_per_atom": -4.31}

=====

{"formula": "Ba2SbAs2", "functional": "GGA-PBEsol", "state": "optimized geometry", "cell": [[-1.502, -4.016, -2.143], [7.482, -2.481, -0.593], [-0.612, -3.531, 7.046]], "species": ["As", "As", "As", "As", "Ba", "Ba", "Ba", "Ba", "Sb", "Sb"], "frac_coords": [[0.000, 0.114, 0.386], [0.000, 0.886, 0.614], [0.000, 0.614, 0.114], [0.000, 0.386, 0.886], [0.500, 0.682, 0.818], [0.500, 0.318, 0.182], [0.500, 0.182, 0.682], [0.500, 0.818, 0.318], [0.000, 0.500, 0.500], [0.000, 0.000, 0.000]], "energy_ev_per_atom": -4.67}

=====

{"formula": "BaSbAs2", "functional": "GGA-PBEsol", "state": "optimized geometry", "cell": [[4.903, 0.000, 0.087], [0.000, 4.868, 0.000], [-0.307, 0.000, 4.810]], "species": ["As", "As", "Ba", "Sb"], "frac_coords": [[0.062, 0.000, 0.066], [0.683, 0.500, 0.076], [0.595, 0.000, 0.549], [0.161, 0.500, 0.809]], "energy_ev_per_atom": -4.68}

=====

{"formula": "BaSbAs", "functional": "GGA-PBEsol", "state": "optimized geometry", "cell": [[4.709, 0.000, 0.000], [0.000, 4.818, 0.000], [0.000, -2.409, 4.173]], "species": ["Ba", "As", "Sb"], "frac_coords": [[0.673, 0.333, 0.667], [0.122, 0.000, 0.000], [0.205, 0.667, 0.333]], "relative_energy_kj_per_mol_atoms": 6.0}

=====

{"formula": "BaSb2TeAs", "functional": "GGA-PBEsol", "state": "optimized geometry", "cell": [[-0.192, 1.484, 5.231], [2.238, -4.749, 1.429], [5.006, 2.225, -0.448]], "species": ["Sb", "Sb", "As", "Ba", "Te"], "frac_coords": [[0.000, 0.500, 0.000], [0.500, 0.000, 0.000], [0.000, 0.000, 0.000], [0.500, 0.500, 0.500], [0.000, 0.000, 0.500]], "energy_ev_per_atom": -4.19}

=====

{"formula": "BaTlSbAs2", "functional": "GGA-PBEsol", "state": "optimized geometry", "cell": [[5.751, 0.000, 0.000], [0.000, 5.751, 0.000], [0.000, 0.000, 6.129]], "species": ["Tl", "Sb", "As", "As", "Ba"], "frac_coords": [[0.500, 0.500, 0.500], [0.000, 0.000, 0.500], [0.000, 0.500, 0.000], [0.500, 0.000, 0.000], [0.000, 0.000, 0.000]], "energy_ev_per_atom": -3.03}

=====

{"formula": "BaScAs", "functional": "GGA-PBEsol", "state": "optimized geometry", "cell": [[4.614, 0.000, 0.000], [-2.307, 3.996, 0.000], [0.000, 0.000, 4.843]], "species": ["Sc", "Ba", "As"], "frac_coords": [[0.667, 0.333, 0.500], [0.333, 0.667, 0.000], [0.000, 0.000, 0.500]], "e_form_ev_per_atom": -0.723}

=====

{"formula": "BaScAs4", "functional": "GGA-PBEsol", "state": "optimized geometry", "cell": [[5.740, 0.000, 0.000], [2.870, 4.971, 0.000], [2.870, 1.657, 4.687]], "species": ["As", "As", "As", "As", "Ba", "Sc"], "frac_coords": [[0.372, 0.885, 0.372], [0.372, 0.372, 0.885], [0.885, 0.372, 0.372], [0.372, 0.372, 0.372], [0.750, 0.750, 0.750], [0.000, 0.000, 0.000]], "e_form_ev_per_atom": -0.294}

=====

{"formula": "Ba3ScAs", "functional": "GGA-PBEsol", "state": "optimized geometry", "cell": [[5.850, 0.000, 0.000], [0.000, 5.850, 0.000], [0.000, 0.000, 5.850]], "species": ["Ba", "Ba", "Ba", "As", "Sc"], "frac_coords": [[0.500, 0.000, 0.000], [0.000, 0.500, 0.000], [0.000, 0.000, 0.500], [0.500, 0.500, 0.500], [0.000, 0.000, 0.000]], "e_form_ev_per_atom": 0.535}

=====

{"formula": "BaSc2As2", "functional": "GGA-PBEsol", "state": "optimized geometry", "cell": [[4.397, 0.000, 0.000], [0.000, 4.397, 0.000], [-2.198, -2.198, 6.687]], "species": ["Sc", "Sc", "Ba", "As", "As"], "frac_coords": [[0.250, 0.750, 0.500], [0.750, 0.250, 0.500], [0.000, 0.000, 0.000], [0.367, 0.367, 0.735], [0.633, 0.633, 0.265]], "e_form_ev_per_atom": -1.082}

=====

{"formula": "BaScAs2Se", "functional": "GGA-PBEsol", "state": "optimized geometry", "cell": [[-2.975, -2.806, 3.056], [0.873, -4.099, -2.914], [4.133, -1.198, 2.923]], "species": ["Se", "Ba", "As", "As", "Sc"], "frac_coords": [[0.000, 0.000, 0.500], [0.500, 0.500, 0.500], [0.000, 0.500, 0.000], [0.500, 0.000, 0.000], [0.000, 0.000, 0.000]], "energy_ev_per_atom": -5.46}

=====

{"formula": "Ba2As2Se5", "functional": "GGA-PBEsol", "state": "optimized geometry", "cell": [[-7.858, 1.683, -4.674], [3.642, -9.325, -0.346], [-6.566, -2.935, 9.981]], "species": ["Se", "Se", "Se", "Se", "Se", "Se", "Se", "Se", "Se", "Se", "Se", "Se", "Se", "Se", "Se", "Se", "Se", "Se", "Se", "Se", "Ba", "Ba", "Ba", "Ba", "Ba", "Ba", "Ba", "Ba", "As", "As", "As", "As", "As", "As", "As", "As"], "frac_coords": [[0.839, 0.567, 0.833], [0.798, 0.102, 0.172], [0.987, 0.068, 0.446], [0.126, 0.763, 0.396], [0.932, 0.369, 0.595], [0.068, 0.631, 0.095], [0.295, 0.141, 0.211], [0.202, 0.898, 0.672], [0.553, 0.015, 0.477], [0.778, 0.478, 0.317], [0.446, 0.393, 0.616], [0.013, 0.932, 0.946], [0.447, 0.985, 0.977], [0.383, 0.259, 0.895], [0.617, 0.741, 0.395], [0.705, 0.859, 0.711], [0.161, 0.433, 0.333], [0.222, 0.522, 0.817], [0.874, 0.237, 0.896], [0.554, 0.607, 0.116], [0.679, 0.347, 0.069], [0.830, 0.649, 0.569], [0.921, 0.844, 0.217], [0.421, 0.854, 0.225], [0.321, 0.653, 0.569], [0.079, 0.156, 0.717], [0.579, 0.146, 0.725], [0.170, 0.351, 0.069], [0.884, 0.260, 0.416], [0.285, 0.996, 0.489], [0.715, 0.004, 0.989], [0.266, 0.250, 0.381], [0.539, 0.510, 0.302], [0.116, 0.740, 0.916], [0.734, 0.750, 0.881], [0.461, 0.490, 0.802]], "energy_ev_per_atom": -4.78}

=====

{"formula": "BaAs2Se", "functional": "GGA-PBEsol", "state": "optimized geometry", "cell": [[-3.394, -0.644, 1.738], [-2.217, -0.822, -4.634], [3.870, -3.990, 1.776]], "species": ["As", "As", "Se", "Ba"], "frac_coords": [[0.213, 0.213, 0.427], [0.787, 0.787, 0.573], [0.500, 0.000, 0.000], [0.000, 0.500, 0.000]], "energy_ev_per_atom": -4.50}

=====

{"formula": "BaAs2Se", "functional": "GGA-PBEsol", "state": "optimized geometry", "cell": [[4.347, 0.011, 0.000], [-0.054, 4.347, 0.000], [-2.147, -2.179, 5.652]], "species": ["As", "As", "Se", "Ba"], "frac_coords": [[0.500, 0.000, 0.500], [0.000, 0.500, 0.500], [0.500, 0.500, 0.000], [0.000, 0.000, 0.000]], "energy_ev_per_atom": -4.48}

=====

{"formula": "BaSiAsSe2", "functional": "GGA-PBEsol", "state": "optimized geometry", "cell": [[-3.153, 4.516, -1.733], [-3.876, -1.121, 4.130], [2.841, 3.357, 3.577]], "species": ["Se", "Se", "Ba", "Si", "As"], "frac_coords": [[0.000, 0.500, 0.000], [0.500, 0.000, 0.000], [0.000, 0.000, 0.000], [0.500, 0.500, 0.500], [0.000, 0.000, 0.500]], "energy_ev_per_atom": -3.05}

=====

{"formula": "BaSnAs2Se", "functional": "GGA-PBEsol", "state": "optimized geometry", "cell": [[-4.285, -3.579, -0.711], [2.417, -3.605, 3.583], [-2.793, 2.475, 4.375]], "species": ["Se", "As", "As", "Ba", "Sn"], "frac_coords": [[0.000, 0.000, 0.500], [0.000, 0.500, 0.000], [0.500, 0.000, 0.000], [0.000, 0.000, 0.000], [0.500, 0.500, 0.500]], "relative_energy_kj_per_mol_atoms": 104.6}